Material: Cd3HgPd2
Method: DFT, GGA-PBE
State: optimized geometry

Properties
Total magnetic moment in μB/f.u.: 0.00
Crystal system: tetragonal
E in eV per atom: -2.50

Cell lengths 3.1019, 3.1019, 12.1266 Å; angles 90.00, 90.00, 90.00 degrees
Closest atoms and distances in Å follow each position.
Atoms (fractional coordinates):
Cd (0.0000, 0.0000, 0.0000)  8 Pd 2.85, 4 Cd 3.10
Cd (0.0000, 0.0000, 0.3001)  4 Pd 2.85, 4 Cd 3.10
Cd (0.0000, 0.0000, 0.6999)  4 Pd 2.85, 4 Cd 3.10
Hg (0.5000, 0.5000, 0.5000)  4 Hg 3.10, 8 Cd 3.27
Pd (0.5000, 0.5000, 0.1505)  8 Cd 2.85, 4 Pd 3.10
Pd (0.5000, 0.5000, 0.8495)  8 Cd 2.85, 4 Pd 3.10

***

Material: Cd5HgPd8
Method: DFT, GGA-PBE
State: optimized geometry

Properties
Total magnetic moment in μB/f.u.: 0.00
Crystal system: tetragonal
E in eV per atom: -3.51

Cell lengths 6.9471, 6.9471, 6.9471 Å; angles 110.03, 110.03, 108.36 degrees
Closest atoms and distances in Å follow each position.
Atoms (fractional coordinates):
Cd (0.0000, 0.0000, 0.0000)  8 Pd 2.67-2.81
Cd (0.1844, 0.5293, 0.9055)  8 Pd 2.73-2.88
Cd (0.4707, 0.3762, 0.6552)  8 Pd 2.73-2.88
Cd (0.6238, 0.2790, 0.0945)  8 Pd 2.73-2.88
Cd (0.7210, 0.8156, 0.3448)  8 Pd 2.73-2.88
Hg (0.2500, 0.7500, 0.5000)  8 Pd 2.74-3.07
Pd (0.1658, 0.0937, 0.7296)  5 Cd 2.67-2.80, 1 Hg 2.74, 1 Pd 2.92
Pd (0.3642, 0.4362, 0.2704)  5 Cd 2.67-2.80, 1 Hg 2.74, 1 Pd 2.92
Pd (0.4192, 0.0154, 0.2667)  5 Cd 2.80-2.88, 4 Pd 2.84-3.13, 1 Hg 3.07
Pd (0.5638, 0.8342, 0.9279)  5 Cd 2.67-2.80, 1 Hg 2.74, 1 Pd 2.92
Pd (0.7487, 0.1525, 0.7333)  5 Cd 2.80-2.88, 4 Pd 2.84-3.13, 1 Hg 3.07
Pd (0.8475, 0.5808, 0.5963)  5 Cd 2.80-2.88, 4 Pd 2.84-3.13, 1 Hg 3.07
Pd (0.9063, 0.6358, 0.0721)  5 Cd 2.67-2.80, 1 Hg 2.74, 1 Pd 2.92
Pd (0.9846, 0.2513, 0.4037)  5 Cd 2.80-2.88, 4 Pd 2.84-3.13, 1 Hg 3.07

***

Material: Cd12Hg2Pd5
Method: DFT, GGA-PBE
State: optimized geometry

Properties
Total magnetic moment in μB/f.u.: 0.00
Crystal system: monoclinic
E in eV per atom: -2.11

Cell lengths 8.0679, 8.0679, 9.5565 Å; angles 96.41, 96.41, 43.01 degrees
Closest atoms and distances in Å follow each position.
Atoms (fractional coordinates):
Cd (0.0247, 0.0247, 0.3185)  2 Pd 2.68-2.89, 2 Cd 2.97
Cd (0.0466, 0.5542, 0.8750)  3 Pd 2.81-2.92, 5 Cd 2.91-3.10, 1 Hg 3.09
Cd (0.1059, 0.6118, 0.3645)  4 Pd 2.78-3.00, 5 Cd 2.92-3.10
Cd (0.3447, 0.3447, 0.6303)  4 Pd 2.77-3.04, 4 Cd 2.92-2.98
Cd (0.3882, 0.8941, 0.6355)  4 Pd 2.78-3.00, 5 Cd 2.92-3.10
Cd (0.4458, 0.9534, 0.1250)  3 Pd 2.81-2.92, 5 Cd 2.91-3.10, 1 Hg 3.09
Cd (0.5542, 0.0466, 0.8750)  3 Pd 2.81-2.92, 5 Cd 2.91-3.10, 1 Hg 3.09
Cd (0.6118, 0.1059, 0.3645)  4 Pd 2.78-3.00, 5 Cd 2.92-3.10
Cd (0.6553, 0.6553, 0.3697)  4 Pd 2.77-3.04, 4 Cd 2.92-2.98
Cd (0.8941, 0.3882, 0.6355)  4 Pd 2.78-3.00, 5 Cd 2.92-3.10
Cd (0.9534, 0.4458, 0.1250)  3 Pd 2.81-2.92, 5 Cd 2.91-3.10, 1 Hg 3.09
Cd (0.9753, 0.9753, 0.6815)  2 Pd 2.68-2.89, 2 Cd 2.97
Hg (0.2597, 0.7403, 0.0000)  2 Hg 2.84-3.07, 2 Pd 2.88, 2 Cd 3.09
Hg (0.7403, 0.2597, 0.0000)  2 Hg 2.84-3.07, 2 Pd 2.88, 2 Cd 3.09
Pd (0.1355, 0.1355, 0.8827)  7 Cd 2.79-2.90, 2 Hg 2.88
Pd (0.2032, 0.2032, 0.3905)  8 Cd 2.68-3.00
Pd (0.5000, 0.5000, 0.5000)  6 Cd 2.77-2.78
Pd (0.7968, 0.7968, 0.6095)  8 Cd 2.68-3.00
Pd (0.8645, 0.8645, 0.1173)  7 Cd 2.79-2.90, 2 Hg 2.88

***

Material: Cd2Hg2Pd5
Method: DFT, GGA-PBE
State: optimized geometry

Properties
Total magnetic moment in μB/f.u.: 0.00
Crystal system: orthorhombic
E in eV per atom: -3.31
Excess energy over the best structure of this formula in the dataset in eV per formula unit: 0.16

Cell lengths 8.7527, 8.7527, 8.7527 Å; angles 74.81, 146.14, 115.57 degrees
Closest atoms and distances in Å follow each position.
Atoms (fractional coordinates):
Cd (0.0446, 0.1313, 0.1759)  6 Pd 2.79-3.05, 3 Hg 2.95-3.08
Cd (0.0446, 0.3687, 0.4133)  6 Pd 2.79-3.05, 3 Hg 2.95-3.08
Cd (0.9554, 0.6313, 0.5867)  6 Pd 2.79-3.05, 3 Hg 2.95-3.08
Cd (0.9554, 0.8687, 0.8241)  6 Pd 2.79-3.05, 3 Hg 2.95-3.08
Hg (0.4454, 0.7496, 0.1958)  6 Pd 2.80-2.90, 4 Cd 3.00-3.08
Hg (0.5004, 0.0004, 0.5000)  4 Pd 2.74-2.75, 2 Cd 2.95
Hg (0.5004, 0.5004, 0.0000)  4 Pd 2.74-2.75, 2 Cd 2.95
Hg (0.5537, 0.2496, 0.8042)  6 Pd 2.80-2.90, 4 Cd 3.00-3.08
Pd (0.9999, 0.9995, 0.5004)  6 Pd 2.79-2.91, 2 Hg 2.80, 4 Cd 3.04-3.05
Pd (0.0006, 0.2010, 0.7011)  2 Hg 2.74-2.75, 6 Pd 2.76-2.91, 2 Cd 2.80
Pd (0.0006, 0.7995, 0.2996)  2 Hg 2.74-2.75, 6 Pd 2.76-2.91, 2 Cd 2.80
Pd (0.4991, 0.4995, 0.4996)  6 Pd 2.79-2.91, 2 Hg 2.80, 4 Cd 3.04-3.05
Pd (0.5003, 0.1004, 0.1013)  6 Pd 2.76-2.91, 2 Cd 2.79, 2 Hg 2.90
Pd (0.4999, 0.2995, 0.2989)  2 Hg 2.74-2.75, 6 Pd 2.76-2.91, 2 Cd 2.80
Pd (0.4999, 0.7010, 0.7004)  2 Hg 2.74-2.75, 6 Pd 2.76-2.91, 2 Cd 2.80
Pd (0.5003, 0.8991, 0.8999)  6 Pd 2.76-2.91, 2 Cd 2.79, 2 Hg 2.90
Pd (0.9992, 0.3991, 0.8987)  6 Pd 2.76-2.91, 2 Cd 2.79, 2 Hg 2.90
Pd (0.9992, 0.6004, 0.1001)  6 Pd 2.76-2.91, 2 Cd 2.79, 2 Hg 2.90

***

Calculated values (eV/atom) of DFT formation energy for the records, taken in order: -0.2571; -0.1950; -0.1359; -0.1499.